[1]
NaZrPCl2, optimized geometry, DFT GGA-PBE; crystal system = tetragonal; energy relative to the elements, uncorrected = -1.03 eV per atom; density of states at the Fermi level = 0.22 states/eV per atom; magnetization = 0.000 μB per atom; theoretical density = 2.682 g/cm3; VASP energy = -4.822 eV per atom
1.0
-5.115 -0.201 -0.406
-0.104 -3.958 3.270
-0.435 3.226 3.891
Cl P Zr Na
2 1 1 1
Cartesian
-2.558 -0.100 -0.203
-0.052 -1.979 1.635
-0.218 1.613 1.945
0.000 0.000 0.000
-2.827 -0.466 3.378

[2]
TiTl2RuN, optimized geometry, DFT GGA-PBE; crystal system = tetragonal; energy relative to the elements, uncorrected = 0.64 eV per atom; density of states at the Fermi level = 0.77 states/eV per atom; magnetization = 0.000 μB per atom; theoretical density = 9.711 g/cm3; VASP energy = -5.402 eV per atom
1.0
-3.795 2.697 -2.152
-0.849 -2.911 -2.150
-3.245 -1.703 3.588
Ru Ti Tl N
1 1 2 1
Cartesian
-0.425 -1.455 -1.075
-3.945 -0.959 -0.357
-1.897 1.348 -1.076
-1.623 -0.852 1.794
0.000 0.000 0.000

[3]
Ho2SiHg, optimized geometry, DFT GGA-PBE; crystal system = tetragonal; energy relative to the elements, uncorrected = -0.48 eV per atom; density of states at the Fermi level = 0.88 states/eV per atom; magnetization = 0.000 μB per atom; theoretical density = 9.888 g/cm3; VASP energy = -4.203 eV per atom
1.0
-2.557 -0.712 2.514
-0.954 -3.021 -1.825
4.670 -3.709 3.699
Si Ho Hg
1 2 1
Cartesian
-1.755 -1.866 0.344
1.078 -0.856 0.854
3.592 -2.853 2.845
0.580 -3.721 2.194

[4]
Tb5HgPd4, optimized geometry, DFT GGA-PBE; crystal system = tetragonal; density of states at the Fermi level = 0.79 states/eV per atom; magnetization = 0.000 μB per atom; theoretical density = 10.385 g/cm3; VASP energy = -5.206 eV per atom; formation energy = -0.7835 eV per atom
1.0
3.547 0.000 0.000
0.000 3.547 0.000
0.000 0.000 18.059
Pd Hg Tb
4 1 5
Cartesian
0.000 0.000 7.286
0.000 0.000 10.773
0.000 0.000 14.307
0.000 0.000 3.752
0.000 0.000 0.000
1.773 1.773 12.523
1.773 1.773 5.536
1.773 1.773 9.030
1.773 1.773 2.061
1.773 1.773 15.999

[5]
LiSnH6Os, optimized geometry, DFT GGA-PBE; crystal system = triclinic; density of states at the Fermi level = 0.10 states/eV per atom; magnetization = 0.000 μB per atom; theoretical density = 6.012 g/cm3; VASP energy = -4.172 eV per atom
1.0
5.313 0.294 0.244
2.947 4.026 -0.565
0.251 -0.661 4.466
Os Li Sn H
1 1 1 6
Cartesian
3.108 1.204 2.174
5.746 2.390 1.894
4.864 -0.346 4.502
3.004 0.016 3.399
1.613 1.079 2.877
2.193 1.761 0.937
4.587 1.359 3.094
3.726 2.571 1.431
5.452 3.946 0.739

[6]
In2CuRh, optimized geometry, DFT GGA-PBE; crystal system = cubic; density of states at the Fermi level = 0.67 states/eV per atom; magnetization = 0.000 μB per atom; theoretical density = 9.409 g/cm3; VASP energy = -4.151 eV per atom; formation energy = 0.0801 eV per atom
1.0
4.624 0.000 0.000
2.312 4.004 0.000
2.312 1.335 3.775
In Rh Cu
2 1 1
Cartesian
0.000 0.000 0.000
2.312 1.335 0.944
6.936 4.004 2.831
4.624 2.670 1.888

[7]
EuHoHgGe, optimized geometry, DFT GGA-PBE; crystal system = cubic; density of states at the Fermi level = 0.80 states/eV per atom; magnetization = 1.869 μB per atom; theoretical density = 9.581 g/cm3; VASP energy = -5.481 eV per atom; formation energy = -0.5380 eV per atom
1.0
-0.201 3.277 4.096
2.627 -1.134 4.401
4.233 2.806 1.327
Eu Ge Ho Hg
1 1 1 1
Cartesian
3.330 2.474 4.911
1.665 1.237 2.456
0.000 0.000 0.000
4.995 3.711 7.367

[8]
MgBF5, optimized geometry, DFT GGA-PBE; crystal system = monoclinic; energy relative to the elements, uncorrected = -3.15 eV per atom; density of states at the Fermi level = 0.00 states/eV per atom; magnetization = 0.013 μB per atom; theoretical density = 2.465 g/cm3; VASP energy = -5.666 eV per atom
1.0
0.512 4.424 -2.781
-3.638 -1.763 -3.350
-3.064 1.465 6.420
Mg F B
2 10 2
Cartesian
0.256 2.212 -1.391
-1.276 2.944 1.820
-1.288 3.206 -2.376
-3.497 2.674 -1.934
-4.902 0.919 2.665
-2.699 4.119 0.850
-0.818 2.118 0.172
-3.491 0.006 -0.561
-3.604 1.869 4.323
-5.372 2.007 0.117
-2.586 2.257 -4.033
-2.694 1.451 2.223
-2.589 3.140 -2.921
-3.601 0.986 3.211

[9]
Pu2HS2, optimized geometry, DFT GGA-PBE; crystal system = orthorhombic; density of states at the Fermi level = 2.95 states/eV per atom; magnetization = 2.200 μB per atom; theoretical density = 9.540 g/cm3; VASP energy = -9.424 eV per atom
1.0
3.929 0.000 0.000
0.000 6.735 0.000
-1.964 0.000 7.277
S Pu H
4 4 2
Cartesian
1.964 2.676 4.235
1.964 4.855 6.933
0.000 1.487 0.345
0.000 6.044 3.042
0.000 2.954 6.296
0.000 3.338 2.377
1.964 6.322 0.981
1.964 6.705 4.901
0.000 0.553 5.887
1.964 3.920 1.391

[10]
LaY2Ni, optimized geometry, DFT GGA-PBE; crystal system = tetragonal; density of states at the Fermi level = 1.00 states/eV per atom; magnetization = 0.000 μB per atom; theoretical density = 5.737 g/cm3; VASP energy = -6.075 eV per atom; formation energy = -0.1661 eV per atom
1.0
-0.646 -0.171 3.406
-0.471 -3.429 -0.262
8.777 -1.327 1.598
Ni La Y
1 1 2
Cartesian
6.024 -2.795 2.771
1.636 -2.132 1.972
8.152 -1.232 1.484
5.013 -0.758 0.913

[11]
TbSm4Tm6, optimized geometry, DFT GGA-PBE; crystal system = tetragonal; density of states at the Fermi level = 1.22 states/eV per atom; magnetization = 0.000 μB per atom; theoretical density = 8.046 g/cm3; VASP energy = -4.272 eV per atom; formation energy = 0.3043 eV per atom
1.0
-8.079 0.464 -5.241
9.564 0.527 -1.098
5.981 -6.538 3.800
Sm Tm Tb
4 6 1
Cartesian
2.601 -2.009 -0.996
10.299 -5.638 -0.599
6.171 0.245 -0.646
3.940 -4.154 2.404
0.743 0.496 -3.169
-1.049 -3.037 -0.721
-2.162 -0.874 -2.843
10.377 -2.504 0.818
9.098 -5.026 2.567
5.698 -3.153 -0.380
0.000 0.000 0.000

[12]
SrLi2Ca, optimized geometry, DFT GGA-PBE; crystal system = trigonal; density of states at the Fermi level = 0.92 states/eV per atom; magnetization = 0.000 μB per atom; theoretical density = 1.585 g/cm3; VASP energy = -1.729 eV per atom; formation energy = 0.1485 eV per atom
1.0
11.564 0.036 0.021
10.899 3.864 0.021
10.899 1.892 3.369
Li Ca Sr
2 1 1
Cartesian
0.088 0.015 0.009
16.593 2.881 1.697
25.021 4.344 2.559
8.340 1.448 0.853

[13]
Sm2Ho2Ag, optimized geometry, DFT GGA-PBE; crystal system = tetragonal; density of states at the Fermi level = 1.26 states/eV per atom; magnetization = 0.000 μB per atom; theoretical density = 8.361 g/cm3; VASP energy = -4.393 eV per atom; formation energy = -0.1041 eV per atom
1.0
3.539 0.000 -0.568
-0.091 3.538 -0.568
0.061 0.062 11.692
Ag Ho Sm
1 2 2
Cartesian
0.000 0.000 0.000
2.014 2.067 1.242
1.495 1.534 9.315
0.690 0.708 4.302
2.819 2.892 6.255

[14]
LiAg2Rh, optimized geometry, DFT GGA-PBE; crystal system = monoclinic; density of states at the Fermi level = 0.67 states/eV per atom; magnetization = 0.127 μB per atom; theoretical density = 8.488 g/cm3; VASP energy = -3.731 eV per atom; formation energy = 0.0105 eV per atom
1.0
-4.505 1.139 1.603
-3.741 -1.174 2.965
1.234 2.708 3.904
Ag Rh Li
2 1 1
Cartesian
-5.271 1.986 6.328
-8.204 0.004 4.610
-1.745 0.668 2.113
-3.545 1.317 4.225

[15]
Li2SiRh, optimized geometry, DFT GGA-PBE; crystal system = monoclinic; energy relative to the elements, uncorrected = -0.47 eV per atom; density of states at the Fermi level = 0.36 states/eV per atom; magnetization = 0.000 μB per atom; theoretical density = 4.679 g/cm3; VASP energy = -4.616 eV per atom
1.0
5.081 0.001 0.024
4.265 2.761 0.024
1.563 0.462 3.673
Li Si Rh
2 1 1
Cartesian
5.454 1.612 1.860
0.000 0.000 0.000
2.727 0.806 0.930
8.182 2.418 2.790

[16]
DyErHg, optimized geometry, DFT GGA-PBE; crystal system = orthorhombic; density of states at the Fermi level = 0.59 states/eV per atom; magnetization = 0.000 μB per atom; theoretical density = 10.846 g/cm3; VASP energy = -3.463 eV per atom; formation energy = -0.3072 eV per atom
1.0
5.201 0.000 0.000
-2.600 4.516 0.000
0.000 0.000 6.914
Dy Er Hg
2 2 2
Cartesian
0.000 0.000 3.457
0.000 0.000 0.000
0.000 3.007 5.185
2.600 1.510 1.728
0.000 3.018 1.728
2.600 1.498 5.185

[17]
SbOs2Pt, optimized geometry, DFT GGA-PBE; crystal system = orthorhombic; energy relative to the elements, uncorrected = 0.54 eV per atom; density of states at the Fermi level = 1.04 states/eV per atom; magnetization = 0.000 μB per atom; theoretical density = 16.625 g/cm3; VASP energy = -7.620 eV per atom
1.0
-5.830 -1.504 -0.111
-2.504 -4.991 2.256
3.102 5.137 0.510
Os Pt Sb
2 1 1
Cartesian
-3.715 -0.016 0.804
-8.155 -6.355 2.099
-4.400 -3.429 1.132
-1.463 -1.300 1.836

[18]
TlV2TcBi, optimized geometry, DFT GGA-PBE; crystal system = tetragonal; density of states at the Fermi level = 1.30 states/eV per atom; magnetization = 0.646 μB per atom; theoretical density = 8.617 g/cm3; VASP energy = -6.078 eV per atom; formation energy = 0.8919 eV per atom
1.0
4.737 0.000 0.000
0.000 4.737 0.000
0.000 0.000 5.266
V Tl Tc Bi
2 1 1 1
Cartesian
2.368 0.000 0.000
0.000 2.368 0.000
0.000 0.000 2.633
0.000 0.000 0.000
2.368 2.368 2.633

[19]
ZnHg4I2, optimized geometry, DFT GGA-PBE; crystal system = tetragonal; energy relative to the elements, uncorrected = -0.14 eV per atom; density of states at the Fermi level = 0.03 states/eV per atom; magnetization = 0.000 μB per atom; theoretical density = 7.450 g/cm3; VASP energy = -0.936 eV per atom
1.0
5.575 0.000 0.000
0.000 5.575 0.000
-2.788 -2.788 8.043
Hg I Zn
4 2 1
Cartesian
2.788 2.788 5.495
2.788 0.000 0.000
0.000 2.788 0.000
0.000 0.000 2.548
2.788 2.788 2.686
0.000 0.000 5.357
0.000 0.000 0.000

[20]
CeNdZn3, optimized geometry, DFT GGA-PBE; crystal system = orthorhombic; density of states at the Fermi level = 1.48 states/eV per atom; magnetization = 0.190 μB per atom; theoretical density = 7.166 g/cm3; VASP energy = -3.176 eV per atom; formation energy = -0.2709 eV per atom
1.0
3.467 0.000 -0.477
0.000 4.579 0.000
0.163 0.000 14.009
Zn Ce Nd
6 2 2
Cartesian
2.377 1.145 4.434
1.442 1.145 10.476
1.806 1.145 13.120
2.187 3.434 3.056
1.823 3.434 0.412
1.253 3.434 9.098
0.812 3.434 5.895
2.818 1.145 7.638
0.272 1.145 1.977
3.357 3.434 11.555

[21]
KPaAs, optimized geometry, DFT GGA-PBE; crystal system = trigonal; density of states at the Fermi level = 1.44 states/eV per atom; magnetization = 0.360 μB per atom; theoretical density = 4.928 g/cm3; VASP energy = -5.204 eV per atom; formation energy = -0.1227 eV per atom
1.0
-0.700 -3.032 3.616
3.710 -1.544 2.570
-0.320 7.585 9.446
K As Pa
2 2 2
Cartesian
0.762 0.139 3.411
1.929 2.870 12.220
1.524 0.277 6.821
1.167 2.732 8.810
0.328 3.122 5.828
2.362 -0.113 9.803

[22]
B2C, optimized geometry, DFT GGA-PBE; crystal system = orthorhombic; density of states at the Fermi level = 0.09 states/eV per atom; magnetization = 0.000 μB per atom; theoretical density = 2.751 g/cm3; VASP energy = -7.123 eV per atom; formation energy = 0.4032 eV per atom
1.0
3.489 2.754 0.027
-0.911 3.338 2.791
0.823 -4.332 -0.561
C B
2 4
Cartesian
2.064 0.490 1.638
1.338 1.269 0.619
-0.703 2.513 2.431
4.104 -0.754 -0.175
1.356 -1.758 0.608
2.046 3.517 1.649

[23]
Y4Tm3Pd2, optimized geometry, DFT GGA-PBE; crystal system = monoclinic; density of states at the Fermi level = 1.41 states/eV per atom; magnetization = 0.013 μB per atom; theoretical density = 6.979 g/cm3; VASP energy = -5.885 eV per atom; formation energy = -0.3675 eV per atom
1.0
-1.769 -2.445 2.109
-2.635 -4.480 -7.404
8.168 -1.501 1.896
Pd Tm Y
2 3 4
Cartesian
-0.342 -3.831 -1.515
4.106 -4.595 -1.884
0.538 -1.187 -0.925
-1.318 -2.240 -3.702
3.225 -7.239 -2.474
5.103 -2.512 1.368
2.116 -4.165 0.160
1.647 -4.261 -3.558
-1.339 -5.914 -4.767

[24]
LiAlRu2Br, optimized geometry, DFT GGA-PBE; crystal system = tetragonal; energy relative to the elements, uncorrected = 0.90 eV per atom; density of states at the Fermi level = 0.75 states/eV per atom; magnetization = 0.615 μB per atom; theoretical density = 4.922 g/cm3; VASP energy = -4.281 eV per atom
1.0
4.582 0.000 0.000
0.000 5.078 0.000
0.000 0.000 4.582
Ru Al Br Li
2 1 1 1
Cartesian
0.000 0.000 2.291
2.291 0.000 0.000
0.000 0.000 0.000
2.291 2.539 2.291
0.000 2.539 0.000

[25]
Sr2SiW, optimized geometry, DFT GGA-PBE; crystal system = tetragonal; energy relative to the elements, uncorrected = 0.26 eV per atom; density of states at the Fermi level = 0.57 states/eV per atom; magnetization = 0.000 μB per atom; theoretical density = 5.767 g/cm3; VASP energy = -5.178 eV per atom
1.0
-2.553 -2.393 -0.029
1.259 -1.306 -2.993
5.297 -5.707 4.718
Si Sr W
1 2 1
Cartesian
2.868 -5.636 1.619
1.084 -3.714 0.030
4.879 -5.257 4.346
3.118 -3.360 2.778

[26]
Dy7Cd2Pd2, optimized geometry, DFT GGA-PBE; crystal system = orthorhombic; density of states at the Fermi level = 1.08 states/eV per atom; magnetization = 0.000 μB per atom; theoretical density = 8.231 g/cm3; VASP energy = -4.322 eV per atom; formation energy = -0.2824 eV per atom
1.0
-1.288 3.745 -5.556
-7.040 -0.667 1.183
0.490 4.250 5.316
Dy Cd Pd
7 2 2
Cartesian
-5.677 3.497 0.765
-2.161 3.830 0.178
-5.386 5.627 3.414
-4.987 1.628 3.535
0.000 0.000 0.000
-2.851 5.699 -2.592
-2.452 1.701 -2.472
-4.179 6.265 0.393
-3.660 1.062 0.550
-7.812 3.224 -1.217
-0.026 4.103 2.160

[27]
ScCr2Ni, optimized geometry, DFT GGA-PBE; crystal system = cubic; density of states at the Fermi level = 1.16 states/eV per atom; magnetization = 1.829 μB per atom; theoretical density = 5.687 g/cm3; VASP energy = -7.469 eV per atom; formation energy = 0.3706 eV per atom
1.0
0.000 3.118 3.118
3.118 0.000 3.118
3.118 3.118 0.000
Sc Cr Ni
1 2 1
Cartesian
0.000 0.000 0.000
4.677 4.677 4.677
1.559 1.559 1.559
3.118 3.118 3.118